Computed, not measured: an optimized crystal structure of ZnPtSeBr2 at the PBE level of DFT.

Unit cell a=5.239 b=5.239 c=4.892 alpha=90.00 beta=90.00 gamma=90.00
Fractional coordinates of all 5 atoms:
Zn 0.000 0.000 0.000
Pt 0.500 0.500 0.500
Se 0.500 0.500 0.000
Br 0.000 0.500 0.500
Br 0.500 0.000 0.500

## Properties
Excess energy over the best structure of this formula in the dataset = 0.000 eV per formula unit
Final energy = -2.598 eV per atom
Raw formation energy = 231 meV/atom
SG = P4/mmm (123)
DOS(E_F) = 1.098 states/eV per atom